Record 1
The following is a PBE calculation of a geometry-optimized TaTc2Ru structure, from the Alexandria database.

Cell lengths 2.7477, 4.2954, 5.3623 Å; angles 90.00, 103.84, 90.00 degrees
Space group P2/m (No. 10)
One atom of each set of equivalent atoms:
Ta1 0.0000 0.0000 0.0000 (multiplicity 1)
Tc1 0.1747 0.5000 0.7459 (multiplicity 2)
Ru1 0.5000 0.0000 0.5000 (multiplicity 1)

## Properties
Energy relative to the elements, meV/atom: 24
Distance to the lowest polymorph of the same formula, eV/f.u.: 0.31
Density of states at the Fermi level, states/eV per cell: 4.93
Spin magnetization, μB per formula unit: 0.00

Record 2
The following is a PBE calculation of a geometry-optimized Mn2CuAgH structure, from the Alexandria database.

Cell lengths 3.8841, 3.8841, 3.9456 Å; angles 90.00, 90.00, 90.00 degrees
Space group P4/mmm (No. 123)
One atom of each set of equivalent atoms:
Mn1 0.0000 0.5000 0.0000 (multiplicity 2)
Cu1 0.0000 0.0000 0.5000 (multiplicity 1)
Ag1 0.5000 0.5000 0.5000 (multiplicity 1)
H1 0.0000 0.0000 0.0000 (multiplicity 1)

## Properties
E, eV/atom: -5.505
Density of states at the Fermi level, states/eV per cell: 4.47
Spin magnetization, μB per formula unit: 6.86

Record 3
The following is a PBE calculation of a geometry-optimized DyYHo2Tm6 structure, from the Alexandria database.

Cell lengths 8.9250, 14.8903, 9.4394 Å; angles 90.00, 97.56, 90.00 degrees
Space group C2/c (No. 15)
One atom of each set of equivalent atoms:
Dy1 0.0000 0.0912 0.2500 (multiplicity 4)
Y1 0.0000 0.4773 0.7500 (multiplicity 4)
Ho1 0.2503 0.0545 0.9559 (multiplicity 8)
Tm1 0.0618 0.3115 0.4433 (multiplicity 8)
Tm2 0.1043 0.1065 0.6193 (multiplicity 8)
Tm3 0.2030 0.2746 0.8157 (multiplicity 8)

## Properties
Energy relative to the elements, meV/atom: 121
Density of states at the Fermi level, states/eV per cell: 55.99
Spin magnetization, μB per formula unit: 0.00